No. 1
The following is a PBE calculation of a relaxed structure of AlOs2Pb, from Alexandria.

Summary:
For the formation energy, the calculation gives 0.76 eV per atom. As for the energy above the most stable polymorph in this dataset: 0.4623 eV/atom. For the calculated volume, the calculation gives 68.32 Å³/cell.

Lattice parameters (Å, degrees): 3.0969 5.0614 4.3585 90.00 90.00 90.00
Fractional positions:
Os  0.5000  0.5000  0.0000
Os  0.0000  0.0000  0.0000
Pb  0.5000  0.0000  0.5000
Al  0.0000  0.5000  0.5000



No. 2
The following is a PBE calculation of a relaxed structure of TlTcCl2, from Alexandria.

Summary:
The uncorrected formation energy is 312 meV per atom. As for the energy above the most stable polymorph in this dataset: 0.4747 eV/atom. For the calculated volume, the calculation gives 97.18 Å³/cell.

Lattice parameters (Å, degrees): 3.7303 5.8589 4.4464 90.00 90.00 90.00
Last column: magnetic moment on the atom in μB.
Fractional positions:
Cl  0.5000  0.5000  0.0000  0.05
Cl  0.0000  0.0000  0.0000  0.05
Tl  0.0000  0.5000  0.5000  0.01
Tc  0.5000  0.0000  0.5000  3.50



No. 3
The following is a PBE calculation of a relaxed structure of Hf2FeSi, from Alexandria.

Summary:
The uncorrected formation energy is -352 meV per atom. For the calculated volume, the calculation gives 209.31 Å³/cell.

Lattice parameters (Å, degrees): 4.0287 4.0287 14.8910 90.00 90.00 120.00
Fractional positions:
Hf  0.6667  0.3333  0.7783
Hf  0.6667  0.3333  0.9761
Hf  0.0000  0.0000  0.4450
Hf  0.3333  0.6667  0.3094
Hf  0.0000  0.0000  0.6428
Hf  0.3333  0.6667  0.1117
Fe  0.0000  0.0000  0.2274
Fe  0.6667  0.3333  0.5607
Fe  0.3333  0.6667  0.8941
Si  0.0000  0.0000  0.8682
Si  0.6667  0.3333  0.2015
Si  0.3333  0.6667  0.5349



No. 4
The following is a PBE calculation of a relaxed structure of Ac3Mg2Ag4, from Alexandria.

Summary:
For the formation energy, the calculation gives -0.25 eV per atom. For the calculated volume, the calculation gives 253.08 Å³/cell.

Lattice parameters (Å, degrees): 4.8866 6.4595 9.4960 112.30 90.00 112.22
Fractional positions:
Ac  0.3645  0.7290  0.3050
Ac  0.6355  0.2710  0.6950
Ac  0.0000  0.0000  0.0000
Mg  0.3323  0.6646  0.6630
Mg  0.6677  0.3354  0.3370
Ag  0.0825  0.1649  0.4104
Ag  0.7213  0.4426  0.0670
Ag  0.9175  0.8351  0.5896
Ag  0.2787  0.5574  0.9330